1.
PaTlTe: relaxed, PBE.

POSCAR file:
```
PaTlTe
1.0
-4.155 -3.032 -0.527
-4.502 2.027 -1.537
-1.841 -1.067 -4.713
Te Tl Pa
1 1 1
direct
0.250 0.250 0.250
0.750 0.750 0.750
0.000 0.000 0.000
```

Summary:
Symmetry = F-43m, No. 216
Calculated volume = 97.8 Å³/cell
Theoretical density = 9.56 Mg/m³
Distance to the lowest polymorph of the same formula = 0.0 kJ/mol of atoms


2.
PaTlTe: relaxed, PBE.

POSCAR file:
```
PaTlTe
1.0
4.525 -1.165 2.192
0.189 -1.315 4.987
1.036 -4.873 1.347
Pa Te Tl
1 1 1
direct
0.250 0.250 0.250
0.000 0.000 0.000
0.750 0.750 0.750
```

Summary:
Symmetry = F-43m, No. 216
Calculated volume = 97.2 Å³/cell
Theoretical density = 9.62 Mg/m³
Distance to the lowest polymorph of the same formula = 9.6 kJ/mol of atoms


3.
Pa2Tl2Te5: relaxed, PBE.

POSCAR file:
```
Pa2Tl2Te5
1.0
-3.000 8.099 4.063
-8.304 4.497 -1.390
-3.451 -4.431 6.283
Te Pa Tl
10 4 4
direct
0.968 0.268 0.649
0.768 0.468 0.149
0.532 0.232 0.149
0.732 0.032 0.649
0.232 0.532 0.851
0.032 0.732 0.351
0.268 0.968 0.351
0.468 0.768 0.851
0.000 0.000 0.000
0.500 0.500 0.500
0.350 0.650 0.150
0.850 0.150 0.350
0.650 0.350 0.850
0.150 0.850 0.650
0.201 0.201 0.000
0.299 0.299 0.500
0.799 0.799 0.000
0.701 0.701 0.500
```

Summary:
VASP energy = -5.076 eV per atom
Symmetry = Cmce, No. 64
Calculated volume = 607.8 Å³/cell
Theoretical density = 8.25 Mg/m³


4.
Pa2TlTe6: relaxed, PBE.

POSCAR file:
```
Pa2TlTe6
1.0
8.667 0.000 0.000
-4.334 7.506 0.000
0.000 0.000 4.276
Te Tl Pa
6 1 2
direct
0.918 0.313 0.242
0.605 0.918 0.758
0.395 0.082 0.242
0.313 0.395 0.758
0.687 0.605 0.242
0.082 0.687 0.758
0.000 0.000 0.500
0.333 0.667 0.258
0.667 0.333 0.742
```

Summary:
VASP energy = -5.168 eV per atom
Symmetry = P-3, No. 147
Calculated volume = 278.2 Å³/cell
Theoretical density = 8.55 Mg/m³


5.
TmPaTe: relaxed, PBE.

POSCAR file:
```
TmPaTe
1.0
-0.777 0.632 4.948
-4.480 1.626 1.664
-3.059 -3.146 2.497
Te Tm Pa
1 1 1
direct
0.250 0.250 0.250
0.000 0.000 0.000
0.500 0.500 0.500
```

Summary:
Symmetry = F-43m, No. 216
Calculated volume = 91.0 Å³/cell
Theoretical density = 9.63 Mg/m³
Distance to the lowest polymorph of the same formula = 0.0 kJ/mol of atoms


6.
UPaTe: relaxed, PBE.

POSCAR file:
```
UPaTe
1.0
3.243 -0.245 3.903
0.527 3.976 3.118
-1.765 -0.251 4.757
U Te Pa
1 1 1
direct
0.750 0.750 0.750
0.000 0.000 0.000
0.250 0.250 0.250
```

Summary:
Symmetry = F-43m, No. 216
Calculated volume = 92.7 Å³/cell
Theoretical density = 10.68 Mg/m³
Distance to the lowest polymorph of the same formula = 0.0 kJ/mol of atoms


7.
PaTeW: relaxed, PBE.

POSCAR file:
```
PaTeW
1.0
4.321 -0.954 2.025
1.061 1.759 4.412
0.289 -3.009 3.814
W Te Pa
1 1 1
direct
0.750 0.750 0.750
0.250 0.250 0.250
0.000 0.000 0.000
```

Summary:
Symmetry = F-43m, No. 216
Calculated volume = 81.5 Å³/cell
Theoretical density = 11.05 Mg/m³
Distance to the lowest polymorph of the same formula = 62.2 kJ/mol of atoms


8.
PaTeW: relaxed, PBE.

POSCAR file:
```
PaTeW
1.0
0.000 3.332 3.332
3.332 0.000 3.332
3.332 3.332 0.000
Te W Pa
1 1 1
direct
0.750 0.750 0.750
0.000 0.000 0.000
0.250 0.250 0.250
```

Summary:
Symmetry = F-43m, No. 216
Calculated volume = 74.0 Å³/cell
Theoretical density = 12.17 Mg/m³
Distance to the lowest polymorph of the same formula = 0.0 kJ/mol of atoms


9.
YPaTe: relaxed, PBE.

POSCAR file:
```
YPaTe
1.0
0.000 3.611 3.611
3.611 0.000 3.611
3.611 3.611 0.000
Pa Y Te
1 1 1
direct
0.250 0.250 0.250
0.750 0.750 0.750
0.000 0.000 0.000
```

Summary:
Symmetry = F-43m, No. 216
Calculated volume = 94.1 Å³/cell
Theoretical density = 7.89 Mg/m³
Distance to the lowest polymorph of the same formula = 0.0 kJ/mol of atoms


10.
ThUPa: relaxed, PBE.

POSCAR file:
```
ThUPa
1.0
0.000 3.500 3.500
3.500 0.000 3.500
3.500 3.500 0.000
Pa Th U
1 1 1
direct
0.250 0.250 0.250
0.750 0.750 0.750
0.000 0.000 0.000
```

Summary:
Formation enthalpy at 0 K = 0.94 eV/atom
Symmetry = F-43m, No. 216
Calculated volume = 85.8 Å³/cell
Theoretical density = 13.58 Mg/m³
Distance to the lowest polymorph of the same formula = 0.0 kJ/mol of atoms


11.
ThPaZn: relaxed, PBE.

POSCAR file:
```
ThPaZn
1.0
-4.462 -1.823 0.640
-3.904 2.755 -0.899
-2.813 -0.953 -3.850
Th Zn Pa
1 1 1
direct
0.750 0.750 0.750
0.000 0.000 0.000
0.250 0.250 0.250
```

Summary:
Formation enthalpy at 0 K = 0.39 eV/atom
Symmetry = F-43m, No. 216
Calculated volume = 81.3 Å³/cell
Theoretical density = 10.80 Mg/m³
Distance to the lowest polymorph of the same formula = 0.0 kJ/mol of atoms


12.
PaTl: relaxed, PBE.

POSCAR file:
```
PaTl
1.0
0.000 3.120 3.120
3.120 0.000 3.120
3.120 3.120 0.000
Tl Pa
1 1
direct
0.500 0.500 0.500
0.000 0.000 0.000
```

Summary:
Symmetry = Fm-3m, No. 225
Calculated volume = 60.7 Å³/cell
Theoretical density = 11.91 Mg/m³
Distance to the lowest polymorph of the same formula = 51.9 kJ/mol of atoms